A relaxed structure of Tl2MoOs. Source: the Alexandria database, functional PBE-GGA.

POSCAR file:
```
Tl2MoOs
1.0
3.313 0.000 0.000
0.000 3.311 0.000
0.000 0.000 6.813
Os Mo Tl
1 1 2
Direct
0.500 0.500 0.750
0.500 0.500 0.250
0.000 0.000 0.508
0.000 0.000 0.992
```

Summary:
Formation enthalpy at 0 K: 1.1106 eV per atom
Distance to the lowest polymorph of the same formula: 66.9 kJ/mol of atoms
Space-group type: P4/mmm